No. 1
BaZr2PtBr | PBE-GGA | optimized geometry

Unit cell a=5.4281 b=5.5677 c=5.4281 alpha=90.00 beta=90.00 gamma=90.00
Closest atoms and distances in Å follow each position.
Positions (direct):
Zr  0.0000  0.0000  0.5000  2 Ba 2.71
Zr  0.5000  0.0000  0.0000  2 Ba 2.71
Br  0.0000  0.5000  0.0000  2 Ba 2.78
Ba  0.0000  0.0000  0.0000  4 Zr 2.71, 2 Br 2.78
Pt  0.5000  0.5000  0.5000  4 Br 3.84, 8 Zr 3.89

Properties
Raw formation energy ... 1.727 eV per atom
Size of the total moment ... 0.00 μB per formula unit
Energy ... -3.62 eV per atom
Theoretical density ... 6.0 g/cm3
D(E_F) ... 6.7 states/eV per cell

***

No. 2
BaPuBr5 | PBE-GGA | optimized geometry

Unit cell a=7.9458 b=7.9458 c=11.4209 alpha=95.94 beta=111.98 gamma=108.25
Closest atoms and distances in Å follow each position.
Positions (direct):
Ba  0.8029  0.5529  0.2500  7 Br 3.21-3.43
Ba  0.1971  0.4471  0.7500  7 Br 3.21-3.43
Pu  0.0000  0.0000  0.0000  6 Br 2.82-2.91
Pu  0.5000  0.0000  0.5000  6 Br 2.82-2.91
Br  0.8301  0.2043  0.1011  1 Pu 2.82
Br  0.2103  0.7227  0.5440  1 Pu 2.89
Br  0.3968  0.2710  0.6011  1 Pu 2.82
Br  0.1651  0.9151  0.2500  2 Pu 2.91
Br  0.6787  0.6663  0.9560  1 Pu 2.89
Br  0.3213  0.3337  0.0440  1 Pu 2.89
Br  0.8349  0.0849  0.7500  2 Pu 2.91
Br  0.6032  0.7290  0.3989  1 Pu 2.82
Br  0.7897  0.2773  0.4560  1 Pu 2.89
Br  0.1699  0.7957  0.8989  1 Pu 2.82

Properties
Raw formation energy ... -1.757 eV per atom
Size of the total moment ... 5.00 μB per formula unit
Energy ... -5.27 eV per atom
Theoretical density ... 4.2 g/cm3
D(E_F) ... 22.5 states/eV per cell

***

No. 3
BaPuBr4 | PBE-GGA | optimized geometry

Unit cell a=6.9483 b=8.4913 c=8.6282 alpha=113.93 beta=107.27 gamma=102.41
Closest atoms and distances in Å follow each position.
Positions (direct):
Ba  0.3867  0.6367  0.2734  8 Br 3.32-3.40
Ba  0.6133  0.3633  0.7266  8 Br 3.32-3.40
Pu  0.2491  0.9991  0.9982  8 Br 3.11-3.14, 2 Pu 3.47
Pu  0.7509  0.0009  0.0018  8 Br 3.11-3.14, 2 Pu 3.47
Br  0.0141  0.2328  0.8778  2 Pu 3.11-3.12, 2 Ba 3.32-3.40
Br  0.7957  0.7160  0.6581  2 Pu 3.13-3.14, 2 Ba 3.34-3.36
Br  0.3637  0.6450  0.8778  2 Pu 3.11-3.12, 2 Ba 3.32-3.40
Br  0.3624  0.9421  0.6581  2 Pu 3.13-3.14, 2 Ba 3.34-3.36
Br  0.6376  0.0579  0.3419  2 Pu 3.13-3.14, 2 Ba 3.34-3.36
Br  0.6363  0.3550  0.1222  2 Pu 3.11-3.12, 2 Ba 3.32-3.40
Br  0.2043  0.2840  0.3419  2 Pu 3.13-3.14, 2 Ba 3.34-3.36
Br  0.9859  0.7672  0.1222  2 Pu 3.11-3.12, 2 Ba 3.32-3.40

Properties
Raw formation energy ... -1.816 eV per atom
Size of the total moment ... 6.00 μB per formula unit
Energy ... -5.64 eV per atom
Theoretical density ... 5.7 g/cm3
D(E_F) ... 30.0 states/eV per cell

***

No. 4
RbBaPuBr6 | PBE-GGA | optimized geometry

Unit cell a=8.1300 b=8.1300 c=14.2168 alpha=90.00 beta=90.00 gamma=120.00
Closest atoms and distances in Å follow each position.
Positions (direct):
Rb  0.0000  0.0000  0.0000  6 Br 3.54
Rb  0.0000  0.0000  0.5000  6 Br 3.54
Ba  0.3333  0.6667  0.2500  6 Br 3.25
Ba  0.6667  0.3333  0.7500  6 Br 3.25
Pu  0.6667  0.3333  0.2500  6 Br 2.89
Pu  0.3333  0.6667  0.7500  6 Br 2.89
Br  0.6523  0.6193  0.1350  1 Pu 2.89
Br  0.9670  0.3477  0.1350  1 Pu 2.89
Br  0.3477  0.9670  0.6350  1 Pu 2.89
Br  0.0330  0.6523  0.8650  1 Pu 2.89
Br  0.3807  0.3477  0.3650  1 Pu 2.89
Br  0.9670  0.6193  0.3650  1 Pu 2.89
Br  0.6193  0.9670  0.8650  1 Pu 2.89
Br  0.6523  0.0330  0.3650  1 Pu 2.89
Br  0.0330  0.3807  0.6350  1 Pu 2.89
Br  0.3807  0.0330  0.1350  1 Pu 2.89
Br  0.6193  0.6523  0.6350  1 Pu 2.89
Br  0.3477  0.3807  0.8650  1 Pu 2.89

Properties
Raw formation energy ... -1.799 eV per atom
Size of the total moment ... 5.00 μB per formula unit
Energy ... -4.83 eV per atom
Theoretical density ... 3.9 g/cm3
D(E_F) ... 25.2 states/eV per cell